Entry 1:
# Eu2MgAl (PBE-GGA, optimized geometry)
data_Eu2MgAl
_chemical_formula_sum 'Eu2 Mg1 Al1'
_cell_length_a 3.6478
_cell_length_b 3.6478
_cell_length_c 10.9212
_cell_angle_alpha 80.39
_cell_angle_beta 80.39
_cell_angle_gamma 60.00
_space_group_name_H-M_alt 'P 1'
_space_group_IT_number 1
loop_
_space_group_symop_operation_xyz
'x,y,z'
loop_
_atom_site_label
_atom_site_type_symbol
_atom_site_fract_x
_atom_site_fract_y
_atom_site_fract_z
Eu1 Eu 0.2565 0.2565 0.2304
Eu2 Eu 0.7435 0.7435 0.7696
Mg1 Mg 0.5000 0.5000 0.5000
Al1 Al 0.0000 0.0000 0.0000
# Energy of formation   0.04 eV per atom
# Space group   R-3m


Entry 2:
# InFeSb2 (PBE-GGA, optimized geometry)
data_InFeSb2
_chemical_formula_sum 'In1 Fe1 Sb2'
_cell_length_a 5.0898
_cell_length_b 5.0898
_cell_length_c 5.0898
_cell_angle_alpha 60.00
_cell_angle_beta 60.00
_cell_angle_gamma 60.00
_space_group_name_H-M_alt 'P 1'
_space_group_IT_number 1
loop_
_space_group_symop_operation_xyz
'x,y,z'
loop_
_atom_site_label
_atom_site_type_symbol
_atom_site_fract_x
_atom_site_fract_y
_atom_site_fract_z
Fe1 Fe 0.5000 0.5000 0.5000
In1 In 0.7500 0.7500 0.7500
Sb1 Sb 0.0000 0.0000 0.0000
Sb2 Sb 0.2500 0.2500 0.2500
# Formation energy without anion corrections   573.7 meV/atom
# Space group   F-43m


no.,raw total energy (eV/cell)
1,-25.74
2,-17.15